Entry 1:
# Ac2ThCo2

A relaxed Ac2ThCo2 crystal (PBE-GGA, Alexandria).

DFT formation energy   -0.123 eV/atom
M_tot   0.00 μB/atom
Density   10.0 g/cm3
Calculated volume   266.30 Å³/cell
Total energy   -6.093 eV/atom

Geometry as extended XYZ:
```
10
Lattice="-4.7689 -1.2802 4.4987 3.7619 -4.7142 -2.3128 4.3782 2.4733 5.3450" Properties=species:S:1:pos:R:3 pbc="T T T"
Ac 2.9487 -2.7087 1.3811
Ac 4.2012 -1.7235 4.9371
Ac -0.8300 -1.7976 2.5938
Ac 0.4225 -0.8123 6.1499
Co -3.5585 -2.6716 3.7868
Co 6.9297 -0.8494 3.7441
Co 1.5094 -2.9535 4.1197
Co 1.8618 -0.5675 3.4112
Th -3.3685 -0.5797 5.5464
Th 2.9777 1.7729 4.2974
```

Entry 2:
# Rb2Ga2Sb

A relaxed Rb2Ga2Sb crystal (PBE-GGA, Alexandria).

Formation energy from raw total energies   -106 meV per atom
M_tot   0.00 μB/atom
Density   4.3 g/cm3
Calculated volume   336.14 Å³/cell
Total energy   -2.528 eV/atom

Geometry as extended XYZ:
```
10
Lattice="7.5199 0.0000 0.0000 0.0000 7.5199 0.0000 0.0000 0.0000 5.9443" Properties=species:S:1:pos:R:3 pbc="T T T"
Ga 4.6606 0.9006 0.0000
Ga 2.8593 6.6192 0.0000
Ga 0.9006 2.8593 0.0000
Ga 6.6192 4.6606 0.0000
Sb 0.0000 0.0000 0.0000
Sb 3.7599 3.7599 0.0000
Rb 5.2100 6.0698 2.9721
Rb 2.3098 1.4501 2.9721
Rb 1.4501 5.2100 2.9721
Rb 6.0698 2.3098 2.9721
```

Entry 3:
# RbB2Cl2

A relaxed RbB2Cl2 crystal (PBE-GGA, Alexandria).

Formation energy from raw total energies   562 meV per atom
M_tot   0.20 μB/atom
Density   2.5 g/cm3
Calculated volume   233.72 Å³/cell
Energy relative to the lowest polymorph listed for this composition   0 meV/atom
Total energy   -3.041 eV/atom

Geometry as extended XYZ:
```
10
Lattice="7.9242 0.0000 0.0000 0.0000 7.9242 0.0000 0.0000 0.0000 3.7221" Properties=species:S:1:pos:R:3 pbc="T T T"
Cl 1.2041 5.1662 1.8610
Cl 5.1662 6.7200 1.8610
Cl 2.7580 1.2041 1.8610
Cl 6.7200 2.7580 1.8610
Rb 0.0000 0.0000 0.0000
Rb 3.9621 3.9621 0.0000
B 4.5544 0.5923 0.0000
B 0.5923 3.3698 0.0000
B 7.3318 4.5544 0.0000
B 3.3698 7.3318 0.0000
```

Entry 4:
# GaBIr

A relaxed GaBIr crystal (PBE-GGA, Alexandria).

DFT formation energy   -0.252 eV/atom
M_tot   0.00 μB/atom
Density   11.7 g/cm3
Calculated volume   77.48 Å³/cell
Energy relative to the lowest polymorph listed for this composition   0 meV/atom
Total energy   -6.441 eV/atom

Geometry as extended XYZ:
```
6
Lattice="-1.3795 2.3304 -0.9890 -2.3398 -1.6239 -0.5628 -2.5372 0.5356 9.0030" Properties=species:S:1:pos:R:3 pbc="T T T"
Ga -2.8541 0.1631 0.1632
Ga -3.4023 1.0790 7.2881
Ir -1.6406 0.1504 2.6429
Ir -4.6158 1.0917 4.8084
B -2.8917 1.6115 3.6285
B -3.3647 -0.3694 3.8227
```

Q: Number 2 is which compound?
A: Rb2Ga2Sb

Q: Look up the total energy of the fourth one.
A: -6.441 eV/atom